A plane-wave DFT calculation with PBE was carried out for a relaxed structure of LaMgGaPb.

Computed properties:
Energy of formation from the pure elements: -0.34 eV per atom
Total moment: 0.0 μB per formula unit

a = 5.3029 Å, b = 5.3029 Å, c = 5.3029 Å
α = 60.00°, β = 60.00°, γ = 60.00°
Fractional coordinates of all 4 atoms:
La 0.7500 0.7500 0.7500
Mg 0.2500 0.2500 0.2500
Ga 0.5000 0.5000 0.5000
Pb 0.0000 0.0000 0.0000

A plane-wave DFT calculation with PBE was carried out for a relaxed structure of LaMgGa2Pd2.

Computed properties:
Energy of formation from the pure elements: -0.75 eV per atom
Total moment: 0.0 μB per formula unit

a = 4.4209 Å, b = 4.4209 Å, c = 7.0851 Å
α = 90.00°, β = 90.00°, γ = 120.00°
Fractional coordinates of all 6 atoms:
La 0.0000 0.0000 0.0000
Ga 0.3333 0.6667 0.2774
Mg 0.0000 0.0000 0.5000
Ga 0.6667 0.3333 0.7226
Pd 0.6667 0.3333 0.3450
Pd 0.3333 0.6667 0.6550

A plane-wave DFT calculation with PBE was carried out for a relaxed structure of LaMg2Ga2Pd.

Computed properties:
Energy of formation from the pure elements: -0.11 eV per atom
Total moment: 0.0 μB per formula unit

a = 5.1047 Å, b = 5.1047 Å, c = 6.7321 Å
α = 112.28°, β = 112.28°, γ = 90.00°
Fractional coordinates of all 6 atoms:
La 0.5000 0.5000 0.0000
Ga 0.7894 0.7894 0.5787
Mg 0.7500 0.2500 0.5000
Ga 0.2106 0.2106 0.4213
Mg 0.2500 0.7500 0.5000
Pd 0.0000 0.0000 0.0000

A plane-wave DFT calculation with PBE was carried out for a relaxed structure of LaMg2GaPd.

Computed properties:
Energy of formation from the pure elements: -0.41 eV per atom
Total moment: 0.0 μB per formula unit

a = 4.9462 Å, b = 4.9462 Å, c = 4.8725 Å
α = 90.00°, β = 90.00°, γ = 90.00°
Fractional coordinates of all 5 atoms:
Mg 0.0000 0.5000 0.0000
Mg 0.5000 0.0000 0.0000
Ga 0.0000 0.0000 0.5000
La 0.5000 0.5000 0.5000
Pd 0.0000 0.0000 0.0000

A plane-wave DFT calculation with PBE was carried out for a relaxed structure of LaMgGaPd.

Computed properties:
Energy of formation from the pure elements: -0.59 eV per atom
Total moment: 0.0 μB per formula unit

a = 4.9902 Å, b = 4.9902 Å, c = 4.9902 Å
α = 60.00°, β = 60.00°, γ = 60.00°
Fractional coordinates of all 4 atoms:
Ga 0.2500 0.2500 0.2500
La 0.0000 0.0000 0.0000
Pd 0.7500 0.7500 0.7500
Mg 0.5000 0.5000 0.5000

A plane-wave DFT calculation with PBE was carried out for a relaxed structure of LaMgGaPd2.

Computed properties:
Energy of formation from the pure elements: -0.73 eV per atom
Total moment: 0.0 μB per formula unit

a = 4.1946 Å, b = 4.1946 Å, c = 6.6233 Å
α = 108.46°, β = 108.46°, γ = 90.00°
Fractional coordinates of all 5 atoms:
Mg 0.7500 0.2500 0.5000
La 0.0000 0.0000 0.0000
Pd 0.3849 0.3849 0.7699
Pd 0.6151 0.6151 0.2301
Ga 0.2500 0.7500 0.5000

A plane-wave DFT calculation with PBE was carried out for a relaxed structure of LaMgGa2Pd.

Computed properties:
Energy of formation from the pure elements: -0.66 eV per atom
Total moment: 0.0 μB per formula unit

a = 4.2925 Å, b = 4.3652 Å, c = 6.4397 Å
α = 109.81°, β = 109.47°, γ = 90.00°
Fractional coordinates of all 5 atoms:
La 0.4490 0.4490 0.8979
Mg 0.1939 0.6939 0.3878
Pd 0.8261 0.8261 0.6523
Ga 0.6948 0.1948 0.3896
Ga 0.0483 0.0483 0.0967

A plane-wave DFT calculation with PBE was carried out for a relaxed structure of La3MgGa2Pd9.

Computed properties:
Energy of formation from the pure elements: -0.63 eV per atom
Total moment: 0.0 μB per formula unit

a = 5.7901 Å, b = 5.7901 Å, c = 11.5895 Å
α = 90.00°, β = 90.00°, γ = 120.00°
Fractional coordinates of all 15 atoms:
Pd 0.5000 0.0000 0.0000
Pd 0.0000 0.5000 0.0000
Ga 0.6667 0.3333 0.8380
Pd 0.6768 0.8384 0.3154
Mg 0.0000 0.0000 0.5000
La 0.6667 0.3333 0.2736
Pd 0.1616 0.3232 0.3154
Pd 0.5000 0.5000 0.0000
La 0.3333 0.6667 0.7264
Pd 0.8384 0.6768 0.6846
Pd 0.8384 0.1616 0.6846
Pd 0.3232 0.1616 0.6846
Ga 0.3333 0.6667 0.1620
La 0.0000 0.0000 0.0000
Pd 0.1616 0.8384 0.3154

A plane-wave DFT calculation with PBE was carried out for a relaxed structure of LaMg2GaPd2.

Computed properties:
Energy of formation from the pure elements: -0.43 eV per atom
Total moment: 0.0 μB per formula unit

a = 5.1491 Å, b = 5.1491 Å, c = 6.4624 Å
α = 113.48°, β = 113.48°, γ = 90.00°
Fractional coordinates of all 6 atoms:
La 0.5000 0.5000 0.0000
Pd 0.2256 0.2256 0.4512
Mg 0.7500 0.2500 0.5000
Pd 0.7744 0.7744 0.5488
Ga 0.0000 0.0000 0.0000
Mg 0.2500 0.7500 0.5000

A plane-wave DFT calculation with PBE was carried out for a relaxed structure of LaMgGa2Pd4.

Computed properties:
Energy of formation from the pure elements: -0.75 eV per atom
Total moment: 0.0 μB per formula unit

a = 4.3612 Å, b = 4.3612 Å, c = 9.1943 Å
α = 76.28°, β = 76.28°, γ = 60.00°
Fractional coordinates of all 8 atoms:
Pd 0.4019 0.4019 0.7942
Ga 0.2375 0.2375 0.2875
Mg 0.5000 0.5000 0.5000
Ga 0.7625 0.7625 0.7125
Pd 0.8687 0.8687 0.3938
La 0.0000 0.0000 0.0000
Pd 0.1313 0.1313 0.6062
Pd 0.5981 0.5981 0.2058

A plane-wave DFT calculation with PBE was carried out for a relaxed structure of La2MgGa3Pd4.

Computed properties:
Energy of formation from the pure elements: -0.80 eV per atom
Total moment: 0.0 μB per formula unit

a = 4.3267 Å, b = 4.3267 Å, c = 10.8618 Å
α = 90.00°, β = 90.00°, γ = 90.00°
Fractional coordinates of all 10 atoms:
Ga 0.0000 0.5000 0.1240
Pd 0.5000 0.0000 0.6412
La 0.0000 0.5000 0.7593
Pd 0.5000 0.5000 0.0000
La 0.5000 0.0000 0.2407
Ga 0.0000 0.0000 0.5000
Pd 0.0000 0.0000 0.0000
Pd 0.0000 0.5000 0.3588
Ga 0.5000 0.0000 0.8760
Mg 0.5000 0.5000 0.5000

A plane-wave DFT calculation with PBE was carried out for a relaxed structure of LaPm2Mg2Ga2.

Computed properties:
Energy of formation from the pure elements: -0.30 eV per atom
Total moment: 0.0 μB per formula unit

a = 4.8388 Å, b = 4.8388 Å, c = 9.5054 Å
α = 75.25°, β = 75.25°, γ = 60.00°
Fractional coordinates of all 7 atoms:
Pm 0.8698 0.8698 0.3906
Mg 0.4044 0.4044 0.7867
Ga 0.7400 0.7400 0.7800
Ga 0.2600 0.2600 0.2200
Mg 0.5956 0.5956 0.2133
La 0.0000 0.0000 0.0000
Pm 0.1302 0.1302 0.6094

A plane-wave DFT calculation with PBE was carried out for a relaxed structure of LaPmMgGa.

Computed properties:
Energy of formation from the pure elements: -0.33 eV per atom
Total moment: 0.0 μB per formula unit

a = 5.3764 Å, b = 5.3764 Å, c = 5.3764 Å
α = 60.00°, β = 60.00°, γ = 60.00°
Fractional coordinates of all 4 atoms:
La 0.5000 0.5000 0.5000
Pm 0.0000 0.0000 0.0000
Mg 0.7500 0.7500 0.7500
Ga 0.2500 0.2500 0.2500

A plane-wave DFT calculation with PBE was carried out for a relaxed structure of LaMg2Ga2Pt.

Computed properties:
Energy of formation from the pure elements: -0.17 eV per atom
Total moment: 0.0 μB per formula unit

a = 5.0528 Å, b = 5.0528 Å, c = 6.7577 Å
α = 111.95°, β = 111.95°, γ = 90.00°
Fractional coordinates of all 6 atoms:
Ga 0.2083 0.2083 0.4166
Ga 0.7917 0.7917 0.5834
Mg 0.2500 0.7500 0.5000
Pt 0.0000 0.0000 0.0000
La 0.5000 0.5000 0.0000
Mg 0.7500 0.2500 0.5000

A plane-wave DFT calculation with PBE was carried out for a relaxed structure of LaMgGa2Pt5.

Computed properties:
Energy of formation from the pure elements: -0.70 eV per atom
Total moment: 0.0 μB per formula unit

a = 4.1941 Å, b = 4.1941 Å, c = 9.4890 Å
α = 90.00°, β = 90.00°, γ = 90.00°
Fractional coordinates of all 9 atoms:
Ga 0.5000 0.5000 0.8731
La 0.0000 0.0000 0.5000
Pt 0.5000 0.5000 0.5000
Ga 0.5000 0.5000 0.1269
Pt 0.0000 0.5000 0.7333
Pt 0.0000 0.5000 0.2667
Pt 0.5000 0.0000 0.7333
Pt 0.5000 0.0000 0.2667
Mg 0.0000 0.0000 0.0000

A plane-wave DFT calculation with PBE was carried out for a relaxed structure of LaMgGa2Pt4.

Computed properties:
Energy of formation from the pure elements: -0.87 eV per atom
Total moment: 0.0 μB per formula unit

a = 4.3491 Å, b = 4.3491 Å, c = 9.2771 Å
α = 76.44°, β = 76.44°, γ = 60.00°
Fractional coordinates of all 8 atoms:
Pt 0.4029 0.4029 0.7912
Ga 0.2389 0.2389 0.2833
Pt 0.8671 0.8671 0.3987
Pt 0.1329 0.1329 0.6013
La 0.0000 0.0000 0.0000
Pt 0.5971 0.5971 0.2088
Mg 0.5000 0.5000 0.5000
Ga 0.7611 0.7611 0.7167

A plane-wave DFT calculation with PBE was carried out for a relaxed structure of LaMgGaPt3.

Computed properties:
Energy of formation from the pure elements: -0.69 eV per atom
Total moment: 0.0 μB per formula unit

a = 5.7440 Å, b = 7.0567 Å, c = 7.1117 Å
α = 119.74°, β = 90.00°, γ = 90.00°
Fractional coordinates of all 12 atoms:
La 0.2500 0.6985 0.3969
Ga 0.7500 0.6252 0.2504
Mg 0.7500 0.0416 0.0833
Pt 0.2500 0.1766 0.3532
Pt 0.5000 0.7034 0.0000
Pt 0.5000 0.2966 0.0000
Mg 0.2500 0.9584 0.9167
Ga 0.2500 0.3748 0.7496
La 0.7500 0.3015 0.6031
Pt 0.0000 0.2966 0.0000
Pt 0.0000 0.7034 0.0000
Pt 0.7500 0.8234 0.6468

A plane-wave DFT calculation with PBE was carried out for a relaxed structure of LaPuMgGa.

Computed properties:
Energy of formation from the pure elements: -0.14 eV per atom
Total moment: 6.2 μB per formula unit

a = 5.3249 Å, b = 5.3249 Å, c = 5.3249 Å
α = 60.00°, β = 60.00°, γ = 60.00°
Each line ends with the local moment (μB).
Fractional coordinates of all 4 atoms:
Pu 0.7500 0.7500 0.7500  -5.50
La 0.2500 0.2500 0.2500  -0.14
Mg 0.5000 0.5000 0.5000  -0.01
Ga 0.0000 0.0000 0.0000  0.06

A plane-wave DFT calculation with PBE was carried out for a relaxed structure of LaMgGa2Rh2.

Computed properties:
Energy of formation from the pure elements: -0.73 eV per atom
Total moment: 0.0 μB per formula unit

a = 4.3766 Å, b = 4.3766 Å, c = 6.9712 Å
α = 90.00°, β = 90.00°, γ = 120.00°
Fractional coordinates of all 6 atoms:
Rh 0.6667 0.3333 0.3416
La 0.0000 0.0000 0.0000
Ga 0.6667 0.3333 0.7119
Mg 0.0000 0.0000 0.5000
Rh 0.3333 0.6667 0.6584
Ga 0.3333 0.6667 0.2881

A plane-wave DFT calculation with PBE was carried out for a relaxed structure of LaMgGa2Rh.

Computed properties:
Energy of formation from the pure elements: -0.52 eV per atom
Total moment: 0.0 μB per formula unit

a = 4.7954 Å, b = 4.7954 Å, c = 4.8508 Å
α = 90.00°, β = 90.00°, γ = 90.00°
Fractional coordinates of all 5 atoms:
Mg 0.0000 0.0000 0.5000
La 0.5000 0.5000 0.5000
Rh 0.0000 0.0000 0.0000
Ga 0.5000 0.0000 0.0000
Ga 0.0000 0.5000 0.0000

A plane-wave DFT calculation with PBE was carried out for a relaxed structure of La2MgGa3Rh4.

Computed properties:
Energy of formation from the pure elements: -0.78 eV per atom
Total moment: 0.0 μB per formula unit

a = 4.3046 Å, b = 4.3046 Å, c = 10.5091 Å
α = 90.00°, β = 90.00°, γ = 90.00°
Fractional coordinates of all 10 atoms:
Rh 0.0000 0.0000 0.0000
Ga 0.0000 0.5000 0.1203
Rh 0.5000 0.0000 0.6405
Rh 0.5000 0.5000 0.0000
Ga 0.0000 0.0000 0.5000
La 0.0000 0.5000 0.7635
Rh 0.0000 0.5000 0.3595
La 0.5000 0.0000 0.2365
Mg 0.5000 0.5000 0.5000
Ga 0.5000 0.0000 0.8797

A plane-wave DFT calculation with PBE was carried out for a relaxed structure of La2MgGa4Rh3.

Computed properties:
Energy of formation from the pure elements: -0.69 eV per atom
Total moment: 0.0 μB per formula unit

a = 4.1648 Å, b = 4.1648 Å, c = 11.4585 Å
α = 90.00°, β = 90.00°, γ = 90.00°
Fractional coordinates of all 10 atoms:
Ga 0.5000 0.0000 0.6432
Mg 0.5000 0.5000 0.5000
Ga 0.0000 0.0000 0.0000
Ga 0.0000 0.5000 0.3568
La 0.5000 0.0000 0.2324
Ga 0.5000 0.5000 0.0000
Rh 0.0000 0.5000 0.1312
Rh 0.0000 0.0000 0.5000
La 0.0000 0.5000 0.7676
Rh 0.5000 0.0000 0.8688

A plane-wave DFT calculation with PBE was carried out for a relaxed structure of LaMg2Ga2Rh.

Computed properties:
Energy of formation from the pure elements: -0.02 eV per atom
Total moment: 0.0 μB per formula unit

a = 5.0650 Å, b = 5.0650 Å, c = 6.6737 Å
α = 112.30°, β = 112.30°, γ = 90.00°
Fractional coordinates of all 6 atoms:
Ga 0.7902 0.7902 0.5804
Ga 0.2098 0.2098 0.4196
Mg 0.2500 0.7500 0.5000
Mg 0.7500 0.2500 0.5000
Rh 0.0000 0.0000 0.0000
La 0.5000 0.5000 0.0000

A plane-wave DFT calculation with PBE was carried out for a relaxed structure of La2MgGaRh.

Computed properties:
Energy of formation from the pure elements: -0.40 eV per atom
Total moment: 0.0 μB per formula unit

a = 5.5259 Å, b = 5.5259 Å, c = 4.8788 Å
α = 90.00°, β = 90.00°, γ = 90.00°
Fractional coordinates of all 5 atoms:
Mg 0.5000 0.5000 0.5000
La 0.0000 0.5000 0.0000
La 0.5000 0.0000 0.0000
Rh 0.0000 0.0000 0.0000
Ga 0.0000 0.0000 0.5000

A plane-wave DFT calculation with PBE was carried out for a relaxed structure of La2MgGaS5.

Computed properties:
Total moment: 0.0 μB per formula unit
E_form (uncorrected): -1.5975 eV per atom

a = 3.9324 Å, b = 8.7463 Å, c = 11.7947 Å
α = 90.00°, β = 90.00°, γ = 102.99°
Fractional coordinates of all 18 atoms:
S 0.5034 0.0068 0.2754
S 0.7098 0.4197 0.1662
S 0.9535 0.9071 0.5502
Ga 0.5575 0.1149 0.9474
Mg 0.2075 0.4150 0.0206
S 0.0465 0.0929 0.0502
La 0.1192 0.2384 0.6792
S 0.3551 0.7101 0.0005
Mg 0.7925 0.5850 0.5206
La 0.8657 0.7314 0.8162
S 0.6847 0.3693 0.8684
S 0.2902 0.5803 0.6662
La 0.1343 0.2686 0.3162
S 0.4966 0.9932 0.7754
S 0.6449 0.2899 0.5005
Ga 0.4425 0.8851 0.4474
S 0.3153 0.6307 0.3684
La 0.8808 0.7616 0.1792